# 1
# LaNiPb3

LaNiPb3 after structural relaxation (PBE-GGA, Alexandria via LeMat-Bulk).

Output
N(E_F) in states/eV per cell: 4.10
ΔH_f (0 K) in kcal/mol of atoms: -1.93
Magnetization in μB/atom: 0.000
V in Å³/atom: 28.252
Space-group type: Pm-3m (221)

Cell: 5.2080 5.2080 5.2080 Å, 90.00 90.00 90.00°
Fractional coordinates of all 5 atoms:
La (0.0000, 0.0000, 0.0000)
Ni (0.5000, 0.5000, 0.5000)
Pb (0.0000, 0.5000, 0.5000)
Pb (0.5000, 0.0000, 0.5000)
Pb (0.5000, 0.5000, 0.0000)

# 2
# La12Ni5Pb

La12Ni5Pb after structural relaxation (PBE-GGA, Alexandria via LeMat-Bulk).

Output
N(E_F) in states/eV per cell: 18.20
ΔH_f (0 K) in kcal/mol of atoms: -6.68
Magnetization in μB/atom: 0.000
V in Å³/atom: 29.237
Space-group type: Immm (71)

Cell: 8.8210 8.8210 8.8210 Å, 112.84 110.02 105.63°
Fractional coordinates of all 18 atoms:
La (0.0122, 0.1979, 0.8143)
La (0.1798, 0.3068, 0.4865)
La (0.1798, 0.6932, 0.8730)
La (0.3253, 0.0124, 0.6872)
La (0.3253, 0.6381, 0.3128)
La (0.3836, 0.1979, 0.1857)
La (0.6164, 0.8021, 0.8143)
La (0.6747, 0.3619, 0.6872)
La (0.6747, 0.9876, 0.3128)
La (0.8202, 0.3068, 0.1270)
La (0.8202, 0.6932, 0.5135)
La (0.9878, 0.8021, 0.1857)
Ni (0.0000, 0.0000, 0.0000)
Ni (0.1247, 0.6247, 0.5000)
Ni (0.3667, 0.0000, 0.3667)
Ni (0.6333, 0.0000, 0.6333)
Ni (0.8753, 0.3753, 0.5000)
Pb (0.5000, 0.5000, 0.0000)

# 3
# La2NiPb

La2NiPb after structural relaxation (PBE-GGA, Alexandria via LeMat-Bulk).

Output
N(E_F) in states/eV per cell: 12.41
ΔH_f (0 K) in kcal/mol of atoms: -7.29
Magnetization in μB/atom: 0.000
V in Å³/atom: 30.082
Space-group type: R-3m (166)

Cell: 4.0065 4.0065 25.9680 Å, 90.00 90.00 120.00°
Fractional coordinates of all 12 atoms:
La (0.0000, 0.0000, 0.2322)
La (0.0000, 0.0000, 0.7678)
La (0.3333, 0.6667, 0.4345)
La (0.3333, 0.6667, 0.8989)
La (0.6667, 0.3333, 0.1011)
La (0.6667, 0.3333, 0.5655)
Ni (0.0000, 0.0000, 0.5000)
Ni (0.3333, 0.6667, 0.1667)
Ni (0.6667, 0.3333, 0.8333)
Pb (0.0000, 0.0000, 0.0000)
Pb (0.3333, 0.6667, 0.6667)
Pb (0.6667, 0.3333, 0.3333)